Entry 1:
First-principles (PBE) data for crystalline K3In7Au4 at its relaxed geometry, as listed in the Alexandria database.

Values from the calculation:
V   26.56 Å³/atom
Formation energy from the elements   -0.255 eV/atom
Symmetry   C2/m (12)

Lattice parameters (Å, degrees): 9.121 9.121 10.403 121.65 121.65 30.81
Fractional positions:
1 K 0.000 0.000 0.000
2 K 0.305 0.305 0.301
3 K 0.695 0.695 0.699
4 In 0.000 0.000 0.500
5 In 0.157 0.157 0.430
6 In 0.320 0.320 0.970
7 In 0.500 0.500 0.293
8 In 0.500 0.500 0.707
9 In 0.680 0.680 0.030
10 In 0.843 0.843 0.570
11 Au 0.126 0.126 0.846
12 Au 0.340 0.340 0.715
13 Au 0.660 0.660 0.285
14 Au 0.874 0.874 0.154


Entry 2:
First-principles (PBE) data for crystalline RbAcHgBi at its relaxed geometry, as listed in the Alexandria database.

Values from the calculation:
V   36.93 Å³/atom
Formation energy from the elements   -0.387 eV/atom
Symmetry   F-43m (216)

Lattice parameters (Å, degrees): 5.933 5.933 5.933 60.00 60.00 60.00
Fractional positions:
1 Rb 0.000 0.000 0.000
2 Ac 0.500 0.500 0.500
3 Hg 0.250 0.250 0.250
4 Bi 0.750 0.750 0.750


Entry 3:
First-principles (PBE) data for crystalline ZnCr2Cu2 at its relaxed geometry, as listed in the Alexandria database.

Values from the calculation:
V   13.32 Å³/atom
Formation energy from the elements   0.429 eV/atom
Symmetry   I4/mmm (139)

Lattice parameters (Å, degrees): 6.977 6.977 6.977 153.69 153.69 37.55
Fractional positions:
1 Zn 0.000 0.000 0.000
2 Cr 0.250 0.750 0.500
3 Cr 0.750 0.250 0.500
4 Cu 0.406 0.406 0.000
5 Cu 0.594 0.594 0.000


Number 1: E_tot -39.14 eV for the cell shown. Number 2: E_tot -10.81 eV for the cell shown. Number 3: E_tot -26.57 eV for the cell shown.